Entry 1:
VASP calculation (PBE) on a relaxed TbPr2Dy6Y crystal.

Structure (POSCAR):
```
TbPr2Dy6Y
1.0
-1.161 8.770 -4.081
-7.271 -3.432 -3.625
-0.462 3.009 8.278
Pr Dy Y Tb
4 12 2 2
Direct
0.958 0.702 0.808
0.458 0.808 0.702
0.542 0.192 0.298
0.042 0.298 0.192
0.381 0.501 0.291
0.812 0.423 0.976
0.188 0.577 0.024
0.557 0.744 0.126
0.443 0.256 0.874
0.881 0.291 0.501
0.312 0.976 0.423
0.688 0.024 0.577
0.619 0.499 0.709
0.943 0.874 0.256
0.119 0.709 0.499
0.057 0.126 0.744
0.250 0.983 0.017
0.750 0.017 0.983
0.750 0.593 0.407
0.250 0.407 0.593
```

Output
Magnetic moment, μB per cell: 0.00
DOS at the Fermi energy, states/eV/atom: 1.405
DFT formation energy, eV per formula unit: 1.2

Entry 2:
VASP calculation (PBE) on a relaxed MgAg3 crystal.

Structure (POSCAR):
```
MgAg3
1.0
-0.333 -5.011 -2.994
3.358 -0.775 -4.724
3.501 -1.906 2.801
Mg Ag
2 6
Direct
0.680 0.680 0.500
0.487 0.487 0.000
0.171 0.171 0.500
0.177 0.670 0.500
0.670 0.177 0.500
0.995 0.995 0.000
0.989 0.497 0.000
0.497 0.989 0.000
```

Output
Magnetic moment, μB per cell: 0.00
Excess energy over the best structure of this formula in the dataset, meV/atom: 35
DOS at the Fermi energy, states/eV/atom: 0.275
DFT formation energy, eV per formula unit: -0.5

Entry 3:
VASP calculation (PBE) on a relaxed DyErPSe crystal.

Structure (POSCAR):
```
DyErPSe
1.0
-2.852 -1.368 -2.362
3.620 -1.565 -0.165
-1.089 -3.201 6.467
Er Se Dy P
1 1 1 1
Direct
0.117 0.957 0.089
0.965 0.381 0.361
0.488 0.142 0.645
0.308 0.552 0.874
```

Output
Final energy, eV per atom: -6.23
Magnetic moment, μB per cell: 0.00
DOS at the Fermi energy, states/eV/atom: 0.599

Entry 4:
VASP calculation (PBE) on a relaxed CeY2Ho4 crystal.

Structure (POSCAR):
```
CeY2Ho4
1.0
-0.704 3.506 0.086
-0.702 -1.893 -2.952
-17.611 -3.753 8.764
Y Ho Ce
2 4 1
Direct
0.714 0.429 0.381
0.620 0.239 0.095
0.428 0.856 0.524
0.000 0.001 0.238
0.524 0.048 0.811
0.905 0.810 0.952
0.809 0.619 0.667
```

Output
Magnetic moment, μB per cell: 0.77
Excess energy over the best structure of this formula in the dataset, meV/atom: 0
DOS at the Fermi energy, states/eV/atom: 1.912
DFT formation energy, eV per formula unit: 0.2

Entry 5:
VASP calculation (PBE) on a relaxed BeRe3Sb crystal.

Structure (POSCAR):
```
BeRe3Sb
1.0
4.818 0.000 0.000
0.000 4.818 0.000
0.000 0.000 4.818
Re Sb Be
3 1 1
Direct
0.500 0.000 0.000
0.000 0.500 0.000
0.000 0.000 0.500
0.000 0.000 0.000
0.500 0.500 0.500
```

Output
Magnetic moment, μB per cell: 1.09
Excess energy over the best structure of this formula in the dataset, meV/atom: 1982
DOS at the Fermi energy, states/eV/atom: 0.950

Entry 6:
VASP calculation (PBE) on a relaxed HoGa4NiPd2 crystal.

Structure (POSCAR):
```
HoGa4NiPd2
1.0
-2.337 -0.396 -3.525
-2.616 -3.316 -0.452
-7.939 3.222 2.342
Ni Ga Pd Ho
1 4 2 1
Direct
0.500 0.500 0.500
0.865 0.865 0.406
0.601 0.601 0.198
0.135 0.135 0.594
0.399 0.399 0.802
0.760 0.760 0.721
0.240 0.240 0.279
0.000 0.000 0.000
```

Output
Magnetic moment, μB per cell: 0.00
DOS at the Fermi energy, states/eV/atom: 0.499
DFT formation energy, eV per formula unit: -4.6